A plane-wave DFT calculation with PBE was carried out for crystalline TcBiS2F at its relaxed geometry.

Results
electronic total energy = -4.16 eV per atom
theoretical density = 6.21 g/cm3
space group = P4/mmm (123)
magnetization = 4.3 μB/cell

Unit cell a=4.894 b=4.894 c=4.356 alpha=90.00 beta=90.00 gamma=90.00
Sites, in units of the cell vectors:
Tc: 0.000 0.000 0.000
Bi: 0.500 0.500 0.000
S: 0.000 0.500 0.500
S: 0.500 0.000 0.500
F: 0.500 0.500 0.500


A plane-wave DFT calculation with PBE was carried out for crystalline Li4Bi2Pb at its relaxed geometry.

Results
electronic total energy = -3.12 eV per atom
theoretical density = 6.37 g/cm3
calculated formation energy = -8.90 kcal/mol of atoms
space group = R-3m (166)
magnetization = 0.0 μB/cell

Unit cell a=8.559 b=8.559 c=8.559 alpha=33.50 beta=33.50 gamma=33.50
Sites, in units of the cell vectors:
Li: 0.114 0.114 0.114
Li: 0.371 0.371 0.371
Li: 0.629 0.629 0.629
Li: 0.886 0.886 0.886
Bi: 0.251 0.251 0.251
Bi: 0.749 0.749 0.749
Pb: 0.500 0.500 0.500


A plane-wave DFT calculation with PBE was carried out for crystalline La4Pr5Dy4 at its relaxed geometry.

Results
electronic total energy = -4.75 eV per atom
theoretical density = 6.95 g/cm3
calculated formation energy = 0.49 kcal/mol of atoms
space group = C2/m (12)
magnetization = 0.0 μB/cell

Unit cell a=9.714 b=9.714 c=13.226 alpha=132.88 beta=132.88 gamma=31.11
Sites, in units of the cell vectors:
La: 0.077 0.077 0.194
La: 0.383 0.383 0.961
La: 0.617 0.617 0.039
La: 0.923 0.923 0.806
Pr: 0.000 0.000 0.500
Pr: 0.309 0.309 0.267
Pr: 0.458 0.458 0.649
Pr: 0.542 0.542 0.351
Pr: 0.691 0.691 0.733
Dy: 0.154 0.154 0.885
Dy: 0.231 0.231 0.577
Dy: 0.769 0.769 0.423
Dy: 0.846 0.846 0.115


A plane-wave DFT calculation with PBE was carried out for crystalline Tl2SbW at its relaxed geometry.

Results
electronic total energy = -4.45 eV per atom
theoretical density = 11.81 g/cm3
space group = I-42d (122)
magnetization = 8.8 μB/cell

Unit cell a=4.226 b=4.226 c=22.499 alpha=90.00 beta=90.00 gamma=90.00
Sites, in units of the cell vectors:
Tl: 0.243 0.250 0.125
Tl: 0.250 0.743 0.375
Tl: 0.250 0.757 0.875
Tl: 0.257 0.250 0.625
Tl: 0.743 0.750 0.625
Tl: 0.750 0.243 0.875
Tl: 0.750 0.257 0.375
Tl: 0.757 0.750 0.125
Sb: 0.000 0.000 0.500
Sb: 0.000 0.500 0.750
Sb: 0.500 0.000 0.250
Sb: 0.500 0.500 0.000
W: 0.000 0.000 0.000
W: 0.000 0.500 0.250
W: 0.500 0.000 0.750
W: 0.500 0.500 0.500


A plane-wave DFT calculation with PBE was carried out for crystalline KZrIn at its relaxed geometry.

Results
electronic total energy = -3.87 eV per atom
theoretical density = 3.88 g/cm3
calculated formation energy = 5.99 kcal/mol of atoms
space group = Ama2 (40)
magnetization = 0.0 μB/cell

Unit cell a=5.050 b=6.022 c=13.784 alpha=90.00 beta=90.00 gamma=90.00
Sites, in units of the cell vectors:
K: 0.250 0.233 0.000
K: 0.250 0.733 0.500
K: 0.750 0.267 0.500
K: 0.750 0.767 0.000
Zr: 0.250 0.097 0.269
Zr: 0.250 0.597 0.769
Zr: 0.750 0.403 0.769
Zr: 0.750 0.903 0.269
In: 0.250 0.133 0.714
In: 0.250 0.633 0.214
In: 0.750 0.367 0.214
In: 0.750 0.867 0.714


A plane-wave DFT calculation with PBE was carried out for crystalline Cd4GaS6 at its relaxed geometry.

Results
electronic total energy = -3.34 eV per atom
theoretical density = 4.42 g/cm3
space group = Cc (9)
magnetization = 0.0 μB/cell

Unit cell a=7.163 b=7.163 c=12.756 alpha=106.65 beta=106.65 gamma=59.98
Sites, in units of the cell vectors:
Cd: 0.093 0.907 0.500
Cd: 0.222 0.456 0.001
Cd: 0.456 0.222 0.501
Cd: 0.458 0.804 0.849
Cd: 0.700 0.929 0.190
Cd: 0.804 0.458 0.349
Cd: 0.907 0.093 0.000
Cd: 0.929 0.700 0.690
Ga: 0.289 0.843 0.253
Ga: 0.843 0.289 0.753
S: 0.079 0.557 0.506
S: 0.090 0.176 0.203
S: 0.109 0.635 0.195
S: 0.161 0.731 0.885
S: 0.176 0.090 0.703
S: 0.428 0.852 0.437
S: 0.557 0.079 0.006
S: 0.589 0.630 0.170
S: 0.630 0.589 0.670
S: 0.635 0.109 0.695
S: 0.731 0.161 0.385
S: 0.852 0.428 0.937


A plane-wave DFT calculation with PBE was carried out for crystalline Pm6HgPb3 at its relaxed geometry.

Results
electronic total energy = -3.94 eV per atom
theoretical density = 7.16 g/cm3
calculated formation energy = 1.29 kcal/mol of atoms
space group = Fm-3m (225)
magnetization = 0.0 μB/cell

Unit cell a=8.216 b=8.216 c=8.216 alpha=60.00 beta=60.00 gamma=60.00
Sites, in units of the cell vectors:
Pm: 0.246 0.246 0.754
Pm: 0.246 0.754 0.246
Pm: 0.246 0.754 0.754
Pm: 0.754 0.246 0.246
Pm: 0.754 0.246 0.754
Pm: 0.754 0.754 0.246
Hg: 0.000 0.000 0.000
Pb: 0.250 0.250 0.250
Pb: 0.500 0.500 0.500
Pb: 0.750 0.750 0.750